1.
Zr2Se2Br | PBE | optimized geometry

## Properties
crystal system: tetragonal
total magnetization: 0.000 μB per formula unit
E_tot: -6.239 eV per atom

The structure in POSCAR format:
```
Zr2Se2Br
1.0
7.833 0.000 0.000
0.000 7.833 0.000
0.000 0.000 3.475
Se Zr Br
4 4 2
direct
0.643 0.857 0.500 Se
0.857 0.357 0.500 Se
0.143 0.643 0.500 Se
0.357 0.143 0.500 Se
0.139 0.361 0.000 Zr
0.639 0.139 0.000 Zr
0.861 0.639 0.000 Zr
0.361 0.861 0.000 Zr
0.500 0.500 0.000 Br
0.000 0.000 0.000 Br
```

---

2.
La2ZrAl | PBE | optimized geometry

## Properties
crystal system: monoclinic
total magnetization: 0.000 μB per formula unit
formation energy from the elements: -80 meV/atom

The structure in POSCAR format:
```
La2ZrAl
1.0
5.048 0.000 0.000
0.000 3.526 0.050
0.000 1.660 6.464
Zr Al La
1 1 2
direct
0.000 0.685 0.505 Zr
0.500 0.565 0.745 Al
0.500 0.281 0.310 La
0.000 0.969 0.940 La
```

---

3.
Y2Th9Sc | PBE | optimized geometry

## Properties
crystal system: tetragonal
total magnetization: 0.000 μB per formula unit
formation energy from the elements: 65 meV/atom

The structure in POSCAR format:
```
Y2Th9Sc
1.0
-4.568 -2.047 -0.500
0.466 -2.145 4.526
-6.157 12.171 6.400
Y Sc Th
2 1 9
direct
0.000 0.000 0.668 Y
0.000 0.000 0.332 Y
0.000 0.000 0.000 Sc
0.000 0.500 0.838 Th
0.500 0.000 0.500 Th
0.500 0.500 0.000 Th
0.500 0.500 0.331 Th
0.000 0.500 0.500 Th
0.500 0.500 0.669 Th
0.500 0.000 0.162 Th
0.500 0.000 0.838 Th
0.000 0.500 0.162 Th
```

---

4.
Rb3Bi6F20 | PBE | optimized geometry

## Properties
crystal system: cubic
total magnetization: 0.000 μB per formula unit
E_tot: -4.609 eV per atom

The structure in POSCAR format:
```
Rb3Bi6F20
1.0
7.585 0.000 4.379
2.528 7.152 4.379
0.000 0.000 8.759
F Bi Rb
20 6 3
direct
0.676 0.324 0.000 F
0.676 0.000 0.324 F
0.000 0.000 0.324 F
0.000 0.676 0.000 F
0.324 0.676 0.000 F
0.000 0.324 0.676 F
0.389 0.389 0.834 F
0.389 0.834 0.389 F
0.166 0.611 0.611 F
0.834 0.389 0.389 F
0.611 0.611 0.166 F
0.000 0.000 0.676 F
0.389 0.389 0.389 F
0.676 0.000 0.000 F
0.000 0.324 0.000 F
0.611 0.166 0.611 F
0.324 0.000 0.000 F
0.000 0.676 0.324 F
0.324 0.000 0.676 F
0.611 0.611 0.611 F
0.266 0.734 0.734 Bi
0.266 0.266 0.734 Bi
0.734 0.266 0.734 Bi
0.734 0.266 0.266 Bi
0.734 0.734 0.266 Bi
0.266 0.734 0.266 Bi
0.000 0.000 0.000 Rb
0.250 0.250 0.250 Rb
0.750 0.750 0.750 Rb
```